# PIr2Cl | Alexandria | GGA-PBE | relaxed
# Energy above the most stable polymorph in this dataset = 2.87 eV per formula unit
# Volume = 121.75 Å³/cell
# ρ = 12.3 Mg/m³
data_PIr2Cl
_space_group_name_H-M_alt 'C 1 2/m 1'
_space_group_IT_number 12
_cell_length_a 5.7087
_cell_length_b 8.2320
_cell_length_c 2.8951
_cell_angle_alpha 90.00
_cell_angle_beta 116.51
_cell_angle_gamma 90.00
loop_
_space_group_symop_operation_xyz
'x,y,z'
'-x,-y,-z'
'-x,y,-z'
'x,-y,z'
'x+1/2,y+1/2,z'
'-x+1/2,-y+1/2,-z'
'-x+1/2,y+1/2,-z'
'x+1/2,-y+1/2,z'
loop_
_atom_site_label
_atom_site_fract_x
_atom_site_fract_y
_atom_site_fract_z
_atom_site_occupancy
P1 0.0000 0.0000 0.0000 1
Ir1 0.2500 0.2500 0.0000 1
Cl1 0.0000 0.5000 0.0000 1